{"formula": "HoFePt", "functional": "PBE-GGA", "state": "relaxed", "formation_enthalpy_0k_ev_per_atom": -0.308, "dft_energy_ev_per_atom": -6.62, "total_magnetization_mub_per_cell": 3.1, "spacegroup": "F-43m", "cell": [[0.000, 3.191, 3.191], [3.191, 0.000, 3.191], [3.191, 3.191, 0.000]], "species": ["Fe", "Ho", "Pt"], "frac_coords": [[0.250, 0.250, 0.250], [0.750, 0.750, 0.750], [0.000, 0.000, 0.000]]}